VASP calculation (PBE) on a geometry-optimized CsSbS2O8 structure.

Properties
- symmetry = No. 19
- electronic total energy (eV per atom) = -5.92
- E_form (uncorrected) (meV/atom) = -1511

Unit cell a=5.3140 b=9.8822 c=15.5143 alpha=90.00 beta=90.00 gamma=90.00
Element x y z (fractional)
O: 0.7486 0.2220 0.1322
O: 0.0793 0.8822 0.1654
O: 0.7514 0.7780 0.6322
O: 0.4889 0.0722 0.8905
O: 0.7196 0.8302 0.8935
O: 0.2196 0.6698 0.1065
O: 0.2804 0.3302 0.6065
O: 0.7715 0.6623 0.4909
O: 0.5793 0.6178 0.8346
O: 0.1281 0.8578 0.0086
O: 0.4207 0.1178 0.6654
O: 0.9989 0.6310 0.8992
O: 0.0294 0.0624 0.8820
O: 0.5294 0.4376 0.1180
O: 0.5111 0.5722 0.6095
O: 0.9706 0.5624 0.6180
O: 0.8719 0.3578 0.4914
O: 0.4989 0.8690 0.1008
O: 0.9889 0.4278 0.1095
O: 0.2486 0.2780 0.8678
O: 0.0011 0.1310 0.6008
O: 0.5011 0.3690 0.3992
O: 0.6281 0.6422 0.9914
O: 0.2514 0.7220 0.3678
O: 0.4706 0.9376 0.3820
O: 0.7804 0.1698 0.3935
O: 0.2285 0.1623 0.0091
O: 0.7285 0.3377 0.9909
O: 0.2715 0.8377 0.5091
O: 0.0111 0.9278 0.3905
O: 0.3719 0.1422 0.5086
O: 0.9207 0.3822 0.3346
Cs: 0.2523 0.1669 0.2380
Cs: 0.2477 0.8331 0.7380
Cs: 0.7477 0.6669 0.2620
Cs: 0.7523 0.3331 0.7620
S: 0.7552 0.3490 0.0846
S: 0.7448 0.6510 0.5846
S: 0.7345 0.6730 0.9033
S: 0.2655 0.1730 0.5967
S: 0.2345 0.8270 0.0967
S: 0.7655 0.3270 0.4033
S: 0.2448 0.8490 0.4154
S: 0.2552 0.1510 0.9154
Sb: 0.2105 0.4880 0.5202
Sb: 0.7105 0.0120 0.4798
Sb: 0.2895 0.5120 0.0202
Sb: 0.7895 0.9880 0.9798



VASP calculation (PBE) on a geometry-optimized CsScS2O8 structure.

Properties
- symmetry = No. 164
- electronic total energy (eV per atom) = -6.65
- E_form (uncorrected) (meV/atom) = -2058

Unit cell a=5.3205 b=5.3205 c=8.7203 alpha=90.00 beta=90.00 gamma=120.00
Element x y z (fractional)
O: 0.8178 0.6369 0.8566
O: 0.3333 0.6667 0.3704
O: 0.3631 0.1809 0.8566
O: 0.1822 0.8191 0.1434
O: 0.6667 0.3333 0.6296
O: 0.8191 0.1822 0.8566
O: 0.6369 0.8178 0.1434
O: 0.1809 0.3631 0.1434
Sc: 0.0000 0.0000 0.0000
Cs: 0.0000 0.0000 0.5000
S: 0.3333 0.6667 0.2031
S: 0.6667 0.3333 0.7969



VASP calculation (PBE) on a geometry-optimized CsSeS2O8 structure.

Properties
- symmetry = No. 12
- electronic total energy (eV per atom) = -5.56
- E_form (uncorrected) (meV/atom) = -1205

Unit cell a=5.5901 b=5.5901 c=9.0229 alpha=101.05 beta=101.05 gamma=55.05
Site moments in Bohr magnetons follow the coordinates.
Element x y z (fractional)
Cs: 0.0000 0.0000 0.5000  0.00
O: 0.6597 0.6597 0.3747  0.01
O: 0.2808 0.2808 0.8786  0.01
O: 0.2468 0.7213 0.8294  0.04
O: 0.3403 0.3403 0.6253  0.01
O: 0.7192 0.7192 0.1214  0.01
O: 0.2787 0.7532 0.1706  0.04
O: 0.7213 0.2468 0.8294  0.04
O: 0.7532 0.2787 0.1706  0.04
S: 0.3856 0.3856 0.7904  0.01
S: 0.6144 0.6144 0.2096  0.01
Se: 0.0000 0.0000 0.0000  0.48



VASP calculation (PBE) on a geometry-optimized CsSeSO2 structure.

Properties
- symmetry = No. 123
- electronic total energy (eV per atom) = -3.52
- E_form (uncorrected) (meV/atom) = 161

Unit cell a=4.3687 b=4.7983 c=4.3687 alpha=90.00 beta=90.00 gamma=90.00
Site moments in Bohr magnetons follow the coordinates.
Element x y z (fractional)
S: 0.0000 0.0000 0.0000  -0.03
Cs: 0.5000 0.5000 0.5000  0.05
O: 0.0000 0.0000 0.5000  0.18
O: 0.5000 0.0000 0.0000  0.21
Se: 0.0000 0.5000 0.0000  0.29



VASP calculation (PBE) on a geometry-optimized Cs2Sm4S3O2 structure.

Properties
- symmetry = No. 139
- electronic total energy (eV per atom) = -5.77
- E_form (uncorrected) (meV/atom) = -1877

Unit cell a=4.6735 b=4.6735 c=16.3748 alpha=98.20 beta=98.20 gamma=90.00
Element x y z (fractional)
Sm: 0.9424 0.4424 0.8849
Sm: 0.4424 0.9424 0.8849
Sm: 0.5576 0.0576 0.1151
Sm: 0.0576 0.5576 0.1151
Cs: 0.3319 0.3319 0.6638
Cs: 0.6681 0.6681 0.3362
O: 0.4296 0.4296 0.8591
O: 0.5704 0.5704 0.1409
S: 0.1128 0.1128 0.2257
S: 0.0000 0.0000 0.0000
S: 0.8872 0.8872 0.7743



VASP calculation (PBE) on a geometry-optimized CsSrS2O8 structure.

Properties
- symmetry = No. 147
- electronic total energy (eV per atom) = -6.02
- E_form (uncorrected) (meV/atom) = -1820

Unit cell a=5.6628 b=5.6628 c=8.9419 alpha=90.00 beta=90.00 gamma=120.00
Site moments in Bohr magnetons follow the coordinates.
Element x y z (fractional)
Sr: 0.0000 0.0000 0.5000  0.00
O: 0.3853 0.2374 0.3211  0.11
O: 0.7626 0.1479 0.3211  0.11
O: 0.6147 0.7626 0.6789  0.11
O: 0.3333 0.6667 0.9000  0.17
O: 0.2374 0.8521 0.6789  0.11
O: 0.1479 0.3853 0.6789  0.11
O: 0.8521 0.6147 0.3211  0.11
O: 0.6667 0.3333 0.1000  0.17
S: 0.6667 0.3333 0.2658  -0.01
S: 0.3333 0.6667 0.7342  -0.01
Cs: 0.0000 0.0000 0.0000  0.00



VASP calculation (PBE) on a geometry-optimized CsSrS2O6 structure.

Properties
- symmetry = No. 15
- electronic total energy (eV per atom) = -5.85
- E_form (uncorrected) (meV/atom) = -1796

Unit cell a=7.1200 b=7.1200 c=8.5057 alpha=105.08 beta=105.08 gamma=104.16
Site moments in Bohr magnetons follow the coordinates.
Element x y z (fractional)
Sr: 0.4256 0.5744 0.7500  0.00
Sr: 0.5744 0.4256 0.2500  0.00
O: 0.7455 0.8369 0.3785  0.08
O: 0.2545 0.1631 0.6215  0.08
O: 0.2621 0.4716 0.4207  0.10
O: 0.7379 0.5284 0.5793  0.10
O: 0.1631 0.2545 0.1215  0.08
O: 0.4716 0.2621 0.9207  0.10
O: 0.0830 0.5892 0.7861  0.08
O: 0.9170 0.4108 0.2139  0.08
O: 0.8369 0.7455 0.8785  0.08
O: 0.4108 0.9170 0.7139  0.08
O: 0.5892 0.0830 0.2861  0.08
O: 0.5284 0.7379 0.0793  0.10
S: 0.0775 0.3122 0.2661  0.13
S: 0.6878 0.9225 0.2339  0.13
S: 0.9225 0.6878 0.7339  0.13
S: 0.3122 0.0775 0.7661  0.13
Cs: 0.8383 0.1617 0.7500  0.01
Cs: 0.1617 0.8383 0.2500  0.01



VASP calculation (PBE) on a geometry-optimized CsSrSO4 structure.

Properties
- symmetry = No. 11
- electronic total energy (eV per atom) = -5.54
- E_form (uncorrected) (meV/atom) = -1752

Unit cell a=5.7821 b=5.8063 c=10.1232 alpha=90.00 beta=124.27 gamma=90.00
Site moments in Bohr magnetons follow the coordinates.
Element x y z (fractional)
O: 0.7452 0.2500 0.7742  0.19
O: 0.9096 0.5243 0.3064  0.13
O: 0.0904 0.0243 0.6936  0.13
O: 0.0904 0.4757 0.6936  0.13
O: 0.3177 0.7500 0.4813  0.00
O: 0.2548 0.7500 0.2258  0.19
O: 0.6823 0.2500 0.5187  0.00
O: 0.9096 0.9757 0.3064  0.13
Sr: 0.7507 0.7500 0.4734  0.02
Sr: 0.2493 0.2500 0.5266  0.02
S: 0.0614 0.7500 0.2977  0.20
S: 0.9386 0.2500 0.7023  0.20
Cs: 0.3541 0.2500 0.1254  0.01
Cs: 0.6459 0.7500 0.8746  0.01



VASP calculation (PBE) on a geometry-optimized Cs2SrS2O6 structure.

Properties
- symmetry = No. 12
- electronic total energy (eV per atom) = -5.65
- E_form (uncorrected) (meV/atom) = -1882

Unit cell a=6.1774 b=6.2178 c=9.1404 alpha=117.68 beta=90.00 gamma=119.79
Element x y z (fractional)
Sr: 0.5000 0.0000 0.5000
O: 0.1802 0.9610 0.6731
O: 0.7809 0.9610 0.6731
O: 0.7774 0.5548 0.6604
O: 0.8198 0.0390 0.3269
O: 0.2191 0.0390 0.3269
O: 0.2226 0.4452 0.3396
Cs: 0.2775 0.5549 0.7463
Cs: 0.7225 0.4451 0.2537
S: 0.9462 0.8924 0.7484
S: 0.0538 0.1076 0.2516



VASP calculation (PBE) on a geometry-optimized CsTbS2O6 structure.

Properties
- symmetry = No. 15
- electronic total energy (eV per atom) = -6.39
- E_form (uncorrected) (meV/atom) = -2038

Unit cell a=6.9952 b=6.9952 c=8.8177 alpha=105.49 beta=105.49 gamma=97.53
Element x y z (fractional)
S: 0.8493 0.6750 0.6731
S: 0.3250 0.1507 0.8269
S: 0.1507 0.3250 0.3269
S: 0.6750 0.8493 0.1731
O: 0.6791 0.7007 0.2749
O: 0.2413 0.5272 0.4713
O: 0.9562 0.3643 0.2177
O: 0.5272 0.2413 0.9713
O: 0.6357 0.0438 0.2823
O: 0.4728 0.7587 0.0287
O: 0.7587 0.4728 0.5287
O: 0.0438 0.6357 0.7823
O: 0.2993 0.3209 0.2251
O: 0.3643 0.9562 0.7177
O: 0.3209 0.2993 0.7251
O: 0.7007 0.6791 0.7749
Tb: 0.3621 0.6379 0.7500
Tb: 0.6379 0.3621 0.2500
Cs: 0.8117 0.1883 0.7500
Cs: 0.1883 0.8117 0.2500



VASP calculation (PBE) on a geometry-optimized Cs2TeSO6 structure.

Properties
- symmetry = No. 139
- electronic total energy (eV per atom) = -4.76
- E_form (uncorrected) (meV/atom) = -889

Unit cell a=5.4521 b=5.4521 c=7.1534 alpha=67.59 beta=67.59 gamma=90.00
Element x y z (fractional)
O: 0.2694 0.7308 0.0000
O: 0.2693 0.2695 0.9999
O: 0.8448 0.8448 0.3105
O: 0.7306 0.2692 0.0000
O: 0.1552 0.1552 0.6895
O: 0.7307 0.7305 0.0001
Cs: 0.2500 0.7500 0.5000
Cs: 0.7500 0.2500 0.5000
Te: 0.0000 0.0000 0.0000
S: 0.5000 0.5000 0.0000



VASP calculation (PBE) on a geometry-optimized CsThS2O8 structure.

Properties
- symmetry = No. 148
- electronic total energy (eV per atom) = -6.58
- E_form (uncorrected) (meV/atom) = -1900

Unit cell a=5.4584 b=5.4584 c=9.8610 alpha=73.93 beta=73.93 gamma=60.00
Site moments in Bohr magnetons follow the coordinates.
Element x y z (fractional)
Cs: 0.5000 0.5000 0.5000  0.00
S: 0.7432 0.7432 0.7704  0.01
S: 0.2568 0.2568 0.2296  0.01
O: 0.4277 0.8746 0.8272  0.00
O: 0.1295 0.5723 0.1728  0.00
O: 0.8746 0.8705 0.8272  0.00
O: 0.5723 0.1254 0.1728  0.00
O: 0.7952 0.7952 0.6144  0.00
O: 0.8705 0.4277 0.8272  0.00
O: 0.2048 0.2048 0.3856  0.00
O: 0.1254 0.1295 0.1728  0.00
Th: 0.0000 0.0000 0.0000  0.40



Which of these has the lowest electronic total energy?
CsScS2O8



Among the records above, which one has the highest electronic total energy?
CsSeSO2